No. 1
Computed, not measured: a relaxed structure of YZnCl5 at the GGA-PBE level of DFT.

abc: 7.1981 7.1981 9.7783
angles: 104.37 104.37 107.92
Positions (direct):
Y  0.0000  0.0000  0.0000
Y  0.0000  0.0000  0.5000
Zn  0.3004  0.6996  0.7500
Zn  0.6996  0.3004  0.2500
Cl  0.0447  0.6598  0.8534
Cl  0.0898  0.9102  0.2500
Cl  0.2371  0.3976  0.5605
Cl  0.3402  0.9553  0.6466
Cl  0.3976  0.2371  0.0605
Cl  0.6024  0.7629  0.9395
Cl  0.6598  0.0447  0.3534
Cl  0.7629  0.6024  0.4395
Cl  0.9102  0.0898  0.7500
Cl  0.9553  0.3402  0.1466

Calculated values
Space group = C2/c

No. 2
Computed, not measured: a relaxed structure of LiVW3 at the GGA-PBE level of DFT.

abc: 4.2280 4.2280 4.2280
angles: 90.00 90.00 90.00
Positions (direct):
Li  0.0000  0.0000  0.0000
V  0.5000  0.5000  0.5000
W  0.0000  0.0000  0.5000
W  0.0000  0.5000  0.0000
W  0.5000  0.0000  0.0000

Calculated values
Energy above the lowest structure with this stoichiometry = 0 meV per atom
Space group = Pm-3m

No. 3
Computed, not measured: a relaxed structure of Er2TmMg4 at the GGA-PBE level of DFT.

abc: 8.0373 8.0373 8.0373
angles: 140.94 140.94 56.43
Positions (direct):
Er  0.2493  0.2493  0.0000
Er  0.7507  0.7507  0.0000
Tm  0.0000  0.0000  0.0000
Mg  0.1171  0.6171  0.5000
Mg  0.3829  0.8829  0.5000
Mg  0.6171  0.1171  0.5000
Mg  0.8829  0.3829  0.5000

Calculated values
Energy above the lowest structure with this stoichiometry = 0 meV per atom
Space group = I4/mmm

| no. | electronic total energy (eV/atom) |
| --- | --- |
| 1 | -4.19 |
| 2 | -8.50 |
| 3 | -2.70 |